Record 1
Tb7Pm6Dy16 | GGA-PBE | relaxed

Calculated total energy   -4.40 eV/atom
D(E_F)   1.939 states/eV/atom
Magnetic moment   0.000 μB per atom

Cell lengths 15.7940, 15.7940, 15.7940 Å; angles 90.00, 90.00, 90.00 degrees
Closest atoms and distances in Å follow each position.
Space group Fm-3m (No. 225)
One atom of each set of equivalent atoms:
Tb (0.0000, 0.0000, 0.0000) (multiplicity 4)  8 Dy 3.45
Tb (0.0000, 0.2500, 0.2500) (multiplicity 24)  8 Dy 3.25-3.41
Pm (0.0000, 0.0000, 0.2729) (multiplicity 24)  8 Dy 3.58-3.65, 4 Tb 3.97
Dy (0.1260, 0.1260, 0.1260) (multiplicity 32)  4 Tb 3.41-3.45, 3 Dy 3.56, 3 Pm 3.65
Dy (0.1513, 0.1513, 0.3487) (multiplicity 32)  3 Tb 3.25, 3 Dy 3.56, 3 Pm 3.58

---

Record 2
Dy3Si4Pd7 | GGA-PBE | relaxed

D(E_F)   0.501 states/eV/atom
Magnetic moment   0.000 μB per atom
Formation energy (no corrections)   -0.93 eV/atom

Cell lengths 15.5462, 4.0389, 9.4291 Å; angles 90.00, 125.28, 90.00 degrees
Closest atoms and distances in Å follow each position.
Space group C2/m (No. 12)
One atom of each set of equivalent atoms:
Dy (0.0000, 0.0000, 0.0000) (multiplicity 2)  6 Si 2.97-3.10, 6 Pd 3.24-3.27
Dy (0.1752, 0.5000, 0.6731) (multiplicity 4)  4 Si 2.99-3.00, 10 Pd 3.00-3.26
Si (0.1096, 0.0000, 0.8266) (multiplicity 4)  6 Pd 2.51-2.59
Si (0.1651, 0.5000, 0.2696) (multiplicity 4)  5 Pd 2.46-2.53
Pd (0.0000, 0.0000, 0.5000) (multiplicity 2)  2 Si 2.51
Pd (0.0084, 0.5000, 0.2761) (multiplicity 4)  3 Si 2.47-2.52
Pd (0.1700, 0.0000, 0.4225) (multiplicity 4)  3 Si 2.46-2.53
Pd (0.1939, 0.5000, 0.0361) (multiplicity 4)  4 Si 2.49-2.59

---

Record 3
SrTaS2Cl | GGA-PBE | relaxed

Excess energy over the best structure of this formula in the dataset   1.7902 eV/atom
D(E_F)   1.487 states/eV/atom
Magnetic moment   0.398 μB per atom
Formation energy (no corrections)   0.60 eV/atom

Cell lengths 5.4838, 5.4838, 5.1724 Å; angles 90.00, 90.00, 90.00 degrees
Closest atoms and distances in Å follow each position.
Space group P4/mmm (No. 123)
One atom of each set of equivalent atoms:
Sr (0.0000, 0.0000, 0.0000) (multiplicity 1)  2 Cl 2.59, 4 S 2.74
Ta (0.5000, 0.5000, 0.5000) (multiplicity 1)  8 S 3.77, 4 Cl 3.88
S (0.0000, 0.5000, 0.0000) (multiplicity 2)  2 Sr 2.74
Cl (0.0000, 0.0000, 0.5000) (multiplicity 1)  2 Sr 2.59

---

Record 4
PmZn2SiAu | GGA-PBE | relaxed

D(E_F)   0.286 states/eV/atom
Magnetic moment   0.000 μB per atom
Formation energy (no corrections)   -0.53 eV/atom

Cell lengths 4.1787, 4.1924, 10.7791 Å; angles 90.00, 90.00, 90.00 degrees
Closest atoms and distances in Å follow each position.
Space group Imm2 (No. 44)
One atom of each set of equivalent atoms:
Pm (0.0000, 0.0000, 0.0000) (multiplicity 2)  4 Si 3.18, 8 Zn 3.20-3.44, 4 Au 3.33-3.49
Zn (0.0000, 0.0000, 0.3862) (multiplicity 2)  1 Si 2.38, 2 Zn 2.58, 2 Au 2.61
Zn (0.0000, 0.5000, 0.2464) (multiplicity 2)  2 Si 2.57, 2 Zn 2.58
Si (0.0000, 0.0000, 0.6073) (multiplicity 2)  3 Zn 2.38-2.57, 2 Au 2.54
Au (0.0000, 0.5000, 0.7406) (multiplicity 2)  2 Si 2.54, 2 Zn 2.61

---

Record 5
Al2ZnAg7 | GGA-PBE | relaxed

Calculated total energy   -2.65 eV/atom
D(E_F)   0.420 states/eV/atom
Magnetic moment   0.000 μB per atom

Cell lengths 7.5671, 12.9060, 4.5153 Å; angles 90.00, 90.00, 90.00 degrees
Closest atoms and distances in Å follow each position.
Space group Cmmm (No. 65)
One atom of each set of equivalent atoms:
Al (0.0000, 0.1987, 0.0000) (multiplicity 4)  7 Ag 2.56-2.81
Zn (0.0000, 0.5000, 0.5000) (multiplicity 2)  2 Ag 2.65
Ag (0.0000, 0.0000, 0.0000) (multiplicity 2)  2 Al 2.56, 4 Ag 2.80
Ag (0.0000, 0.2946, 0.5000) (multiplicity 4)  2 Al 2.57, 1 Zn 2.65
Ag (0.1846, 0.3873, 0.0000) (multiplicity 8)  2 Al 2.63-2.81, 5 Ag 2.79-2.91

---

Record 6
SrSi2Os | GGA-PBE | relaxed

D(E_F)   0.447 states/eV/atom
Magnetic moment   0.000 μB per atom
Formation energy (no corrections)   0.66 eV/atom

Cell lengths 5.7878, 7.8740, 3.2071 Å; angles 90.00, 90.00, 90.00 degrees
Closest atoms and distances in Å follow each position.
Space group Cmmm (No. 65)
One atom of each set of equivalent atoms:
Sr (0.0000, 0.0000, 0.0000) (multiplicity 2)  2 Os 2.89, 8 Si 2.92, 2 Sr 3.21
Si (0.2500, 0.2500, 0.5000) (multiplicity 4)  4 Si 2.89-3.21, 4 Sr 2.92, 4 Os 2.92
Os (0.0000, 0.5000, 0.0000) (multiplicity 2)  2 Sr 2.89, 8 Si 2.92, 2 Os 3.21

---

Record 7
Cd2SnAu6 | GGA-PBE | relaxed

Excess energy over the best structure of this formula in the dataset   0.0302 eV/atom
D(E_F)   0.276 states/eV/atom
Magnetic moment   0.000 μB per atom

Cell lengths 6.4735, 15.0085, 4.1005 Å; angles 90.00, 108.70, 90.00 degrees
Closest atoms and distances in Å follow each position.
Space group C2/m (No. 12)
One atom of each set of equivalent atoms:
Cd (0.0000, 0.1651, 0.0000) (multiplicity 4)  8 Au 2.87-2.90
Sn (0.0000, 0.5000, 0.5000) (multiplicity 2)  8 Au 2.89-2.91
Au (0.1661, 0.0000, 0.8324) (multiplicity 4)  2 Cd 2.87, 4 Au 2.88-2.91, 2 Sn 2.89-2.90
Au (0.1666, 0.3319, 0.3320) (multiplicity 8)  4 Au 2.86-2.91, 3 Cd 2.89-2.90, 1 Sn 2.91

---

Record 8
Ir2WSe | GGA-PBE | relaxed

Excess energy over the best structure of this formula in the dataset   0.4594 eV/atom
D(E_F)   0.494 states/eV/atom
Magnetic moment   0.000 μB per atom
Formation energy (no corrections)   0.54 eV/atom

Cell lengths 5.8340, 5.8340, 10.3950 Å; angles 90.00, 90.00, 90.00 degrees
Closest atoms and distances in Å follow each position.
Space group I-42d (No. 122)
One atom of each set of equivalent atoms:
Ir (0.2492, 0.2500, 0.1250) (multiplicity 8)  2 Se 2.44, 2 W 2.44
W (0.0000, 0.0000, 0.5000) (multiplicity 4)  4 Ir 2.44
Se (0.0000, 0.0000, 0.0000) (multiplicity 4)  4 Ir 2.44